VASP calculation (PBE-GGA) on a relaxed Cs3Cu2Cl5 crystal.

Properties
The volume is 1375.5 Å³ per cell. The calculation puts the formation energy without anion corrections at -1.39 eV/atom.

```
Cs3Cu2Cl5
1.0
9.540 0.000 0.000
0.000 10.787 0.000
0.000 0.000 13.366
Cs Cu Cl
12 8 20
Cartesian
0.274 0.192 2.487
0.274 5.201 2.487
0.976 8.090 6.251
3.794 2.697 12.934
4.496 5.586 9.170
4.496 10.595 9.170
5.044 0.192 4.196
5.044 5.201 4.196
5.746 8.090 0.432
8.564 2.697 7.115
9.266 5.586 10.879
9.266 10.595 10.879
1.809 8.090 0.876
2.215 2.697 5.098
2.555 8.090 11.780
2.961 2.697 7.559
6.579 8.090 5.807
6.986 2.697 1.585
7.325 8.090 8.268
7.731 2.697 12.490
0.220 2.697 13.286
1.766 2.697 9.372
1.779 0.629 5.786
1.779 4.765 5.786
1.841 8.090 9.567
2.929 2.697 2.885
2.991 6.022 12.469
2.991 10.158 12.469
3.004 8.090 2.689
4.550 8.090 6.603
4.990 2.697 6.763
6.537 2.697 10.677
6.549 0.629 0.897
6.549 4.765 0.897
6.612 8.090 10.481
7.699 2.697 3.798
7.761 6.022 7.580
7.761 10.158 7.580
7.774 8.090 3.994
9.321 8.090 0.080
```


VASP calculation (PBE-GGA) on a relaxed Cs2Cu2Cl7 crystal.

Properties
The volume is 315.1 Å³ per cell. The distance to the lowest polymorph of the same formula is 0.285 eV per atom. The calculation puts the formation energy without anion corrections at -0.70 eV/atom.

```
Cs2Cu2Cl7
1.0
3.898 -5.064 0.000
3.898 5.064 0.000
0.000 0.000 7.983
Cs Cu Cl
2 2 7
Cartesian
1.788 0.000 0.000
6.008 0.000 0.000
3.898 2.586 3.991
3.898 -2.586 3.991
0.000 0.000 3.991
1.949 2.532 2.443
1.949 2.532 5.540
1.949 -2.532 2.443
1.949 -2.532 5.540
3.898 0.000 2.423
3.898 0.000 5.560
```